(1)
Computed, not measured: crystalline LiCrNi2O4 at its relaxed geometry at the PBE with a Hubbard U level of DFT.

The uncorrected energy is -5.678 eV per atom. The size of the total moment comes out at 4.99 μB per cell.

It has space group P2/m (No. 10), with a = 5.205 Å, b = 2.911 Å, c = 5.253 Å, α = 90.00°, β = 112.48° and γ = 90.00°. Symmetry generates all atoms from Li at (0.000, 0.000, 0.000), Cr at (0.500, 0.500, 0.000), Ni at (0.000, 0.500, 0.500), Ni at (0.500, 0.000, 0.500), O at (0.233, 0.000, 0.778) and O at (0.283, 0.500, 0.261).



(2)
Computed, not measured: crystalline Li2CrNiO4 at its relaxed geometry at the PBE with a Hubbard U level of DFT.

The uncorrected energy is -5.895 eV per atom. The size of the total moment comes out at 16.00 μB per cell.

It has space group Imma (No. 74), with a = 5.858 Å, b = 5.869 Å, c = 8.356 Å, α = 90.00°, β = 90.00° and γ = 90.00°. Symmetry generates all atoms from Li at (0.000, 0.000, 0.000), Li at (0.250, 0.250, 0.250), Cr at (0.000, 0.000, 0.500), Ni at (0.250, 0.250, 0.750), O at (0.000, 0.016, 0.737) and O at (0.232, 0.250, 0.499).



(3)
Computed, not measured: crystalline Li2CrNi2O6 at its relaxed geometry at the PBE with a Hubbard U level of DFT.

The uncorrected energy is -5.553 eV per atom. The size of the total moment comes out at 8.00 μB per cell.

It has space group C2/m (No. 12), with a = 5.165 Å, b = 8.433 Å, c = 5.235 Å, α = 90.00°, β = 111.87° and γ = 90.00°. Symmetry generates all atoms from Li at (0.000, 0.176, 0.000), Cr at (0.000, 0.000, 0.500), Ni at (0.000, 0.336, 0.500), O at (0.224, 0.170, 0.719) and O at (0.247, 0.500, 0.707).



(4)
Computed, not measured: crystalline Li2Cr3NiO8 at its relaxed geometry at the PBE with a Hubbard U level of DFT.

The uncorrected energy is -6.546 eV per atom. The size of the total moment comes out at 16.00 μB per cell. Its energy above the most stable polymorph in this dataset is 21 meV per atom.

It has space group P6_3mc (No. 186), with a = 5.8337 Å, b = 5.8337 Å, c = 9.6637 Å, α = 90.00°, β = 90.00° and γ = 120.00°. Symmetry generates all atoms from Li at (0.0000, 0.0000, 0.0000), Li at (0.3333, 0.6667, 0.4009), Cr at (0.1685, 0.3370, 0.7163), Ni at (0.3333, 0.6667, 0.9917), O at (0.0000, 0.0000, 0.3175), O at (0.0374, 0.5187, 0.8304), O at (0.1595, 0.3191, 0.1112) and O at (0.3333, 0.6667, 0.6060).



(5)
Computed, not measured: crystalline Li4Cr3NiO8 at its relaxed geometry at the PBE with a Hubbard U level of DFT.

The uncorrected energy is -6.399 eV per atom. The size of the total moment comes out at 30.00 μB per cell. Its energy above the most stable polymorph in this dataset is 3 meV per atom.

It has space group R-3m (No. 166, hexagonal axes), with a = 5.9061 Å, b = 5.9061 Å, c = 14.4825 Å, α = 90.00°, β = 90.00° and γ = 120.00°. Symmetry generates all atoms from Li at (0.0000, 0.0000, 0.0000), Li at (0.0000, 0.5000, 0.0000), Cr at (0.0000, 0.5000, 0.5000), Ni at (0.0000, 0.0000, 0.5000), O at (0.0000, 0.0000, 0.2425) and O at (0.0073, 0.5037, 0.7580).



(6)
Computed, not measured: crystalline LiCrNi2O5 at its relaxed geometry at the PBE with a Hubbard U level of DFT.

The uncorrected energy is -5.275 eV per atom. The size of the total moment comes out at 2.48 μB per cell.

It has space group Immm (No. 71), with a = 3.658 Å, b = 5.051 Å, c = 10.529 Å, α = 90.00°, β = 90.00° and γ = 90.00°. Symmetry generates all atoms from Li at (0.000, 0.000, 0.000), Cr at (0.000, 0.000, 0.500), Ni at (0.000, 0.500, 0.200), O at (0.000, 0.241, 0.357) and O at (0.000, 0.500, 0.000).



(7)
Computed, not measured: crystalline Li5Cr2Ni3O10 at its relaxed geometry at the PBE with a Hubbard U level of DFT.

The uncorrected energy is -5.691 eV per atom. The size of the total moment comes out at 0.96 μB per cell.

It has space group P-1 (No. 2), with a = 5.066 Å, b = 5.093 Å, c = 7.710 Å, α = 109.07°, β = 100.97° and γ = 100.73°. Symmetry generates all atoms from Li at (0.000, 0.000, 0.000), Li at (0.102, 0.205, 0.707), Li at (0.288, 0.593, 0.099), Cr at (0.391, 0.801, 0.805), Ni at (0.198, 0.395, 0.399), Ni at (0.500, 0.000, 0.500), O at (0.069, 0.613, 0.842), O at (0.172, 0.805, 0.559), O at (0.283, 0.013, 0.266), O at (0.368, 0.173, 0.952) and O at (0.450, 0.428, 0.657).



(8)
Computed, not measured: crystalline Li2Cr3NiO8 at its relaxed geometry at the PBE with a Hubbard U level of DFT.

The uncorrected energy is -6.567 eV per atom. The size of the total moment comes out at 24.00 μB per cell. Its energy above the most stable polymorph in this dataset is 0 meV per atom.

It has space group R-3m (No. 166, hexagonal axes), with a = 5.8743 Å, b = 5.8743 Å, c = 14.5894 Å, α = 90.00°, β = 90.00° and γ = 120.00°. Symmetry generates all atoms from Li at (0.0000, 0.0000, 0.1250), Cr at (0.0000, 0.5000, 0.0000), Ni at (0.0000, 0.0000, 0.5000), O at (0.0000, 0.0000, 0.2607) and O at (0.0313, 0.5157, 0.2613).